In2SnAs PBE relaxed; total moment = 0.0000 μB per atom; SG = R-3m; theoretical density = 5.63 g cm⁻³; calculated formation energy = 0.134 eV/atom; offset from the most stable computed form = 11.7 kJ per mole of atoms
1.0
1.987 1.147 9.129
-1.987 1.147 9.129
0.000 -2.295 9.129
In Sn As
2 1 1
Direct
0.109 0.109 0.109
0.891 0.891 0.891
0.000 0.000 0.000
0.500 0.500 0.500

---

SiH3Pt PBE relaxed; total moment = 0.0000 μB per atom; SG = Pm-3m; theoretical density = 8.70 g cm⁻³; offset from the most stable computed form = 41.9 kJ per mole of atoms
1.0
3.508 0.000 0.000
0.000 3.508 0.000
0.000 0.000 3.508
Si H Pt
1 3 1
Direct
0.000 0.000 0.000
0.000 0.000 0.500
0.000 0.500 0.000
0.500 0.000 0.000
0.500 0.500 0.500

---

It is found that the DOS at the Fermi energy values, taken in the order of the records, are 0.45 0.54 states/eV per atom.